No. 1
# SiRuBr2, optimized geometry, DFT GGA-PBE
# Relative energy among the computed polymorphs   3.38 eV per formula unit
# V   244.2 Å³ per cell
# Uncorrected energy   -0.1379 hartree per atom
# Fermi-level density of states   11.7 states/eV per cell
# Formation energy (no corrections)   0.759 eV/atom
# Total magnetization   0.5 μB/f.u.
data_SiRuBr2
_chemical_formula_sum 'Si3 Ru3 Br6'
_cell_length_a 3.154
_cell_length_b 3.154
_cell_length_c 28.357
_cell_angle_alpha 90.00
_cell_angle_beta 90.00
_cell_angle_gamma 120.00
_space_group_name_H-M_alt 'P 1'
_space_group_IT_number 1
_space_group_name_Hall 'P 1'
loop_
_atom_site_label
_atom_site_type_symbol
_atom_site_fract_x
_atom_site_fract_y
_atom_site_fract_z
Si1 Si 0.000 0.000 0.000
Si2 Si 0.333 0.667 0.667
Si3 Si 0.667 0.333 0.333
Ru1 Ru 0.000 0.000 0.500
Ru2 Ru 0.333 0.667 0.167
Ru3 Ru 0.667 0.333 0.833
Br1 Br 0.000 0.000 0.416
Br2 Br 0.000 0.000 0.584
Br3 Br 0.333 0.667 0.083
Br4 Br 0.333 0.667 0.251
Br5 Br 0.667 0.333 0.749
Br6 Br 0.667 0.333 0.917

---

No. 2
# NaAlIn2, optimized geometry, DFT GGA-PBE
# V   98.2 Å³ per cell
# Formation energy   2.83 kJ per mole of atoms
# Uncorrected energy   -0.0957 hartree per atom
# Fermi-level density of states   1.1 states/eV per cell
# Total magnetization   0.0 μB/f.u.
data_NaAlIn2
_chemical_formula_sum 'Na1 Al1 In2'
_cell_length_a 3.212
_cell_length_b 4.911
_cell_length_c 6.415
_cell_angle_alpha 93.91
_cell_angle_beta 99.34
_cell_angle_gamma 98.97
_space_group_name_H-M_alt 'P 1'
_space_group_IT_number 1
_space_group_name_Hall 'P 1'
loop_
_atom_site_label
_atom_site_type_symbol
_atom_site_fract_x
_atom_site_fract_y
_atom_site_fract_z
Na1 Na 0.000 0.000 0.000
Al1 Al 0.500 0.000 0.500
In1 In 0.341 0.487 0.732
In2 In 0.659 0.513 0.268

---

No. 3
# BaGe3C, optimized geometry, DFT GGA-PBE
# Relative energy among the computed polymorphs   9.54 eV per formula unit
# V   213.4 Å³ per cell
# Formation energy   252.90 kJ per mole of atoms
# Uncorrected energy   -0.0874 hartree per atom
# Fermi-level density of states   5.0 states/eV per cell
# Total magnetization   0.2 μB/f.u.
data_BaGe3C
_chemical_formula_sum 'Ba1 Ge3 C1'
_cell_length_a 5.976
_cell_length_b 5.976
_cell_length_c 5.976
_cell_angle_alpha 90.00
_cell_angle_beta 90.00
_cell_angle_gamma 90.00
_space_group_name_H-M_alt 'P 1'
_space_group_IT_number 1
_space_group_name_Hall 'P 1'
loop_
_atom_site_label
_atom_site_type_symbol
_atom_site_fract_x
_atom_site_fract_y
_atom_site_fract_z
Ba1 Ba 0.000 0.000 0.000
Ge1 Ge 0.000 0.000 0.500
Ge2 Ge 0.000 0.500 0.000
Ge3 Ge 0.500 0.000 0.000
C1 C 0.500 0.500 0.500

---

No. 4
# Ca2MgTlRe, optimized geometry, DFT GGA-PBE
# V   163.5 Å³ per cell
# Formation energy   63.88 kJ per mole of atoms
# Uncorrected energy   -0.1257 hartree per atom
# Fermi-level density of states   4.4 states/eV per cell
# Total magnetization   0.7 μB/f.u.
data_Ca2MgTlRe
_chemical_formula_sum 'Ca2 Mg1 Tl1 Re1'
_cell_length_a 5.522
_cell_length_b 5.522
_cell_length_c 5.360
_cell_angle_alpha 90.00
_cell_angle_beta 90.00
_cell_angle_gamma 90.00
_space_group_name_H-M_alt 'P 1'
_space_group_IT_number 1
_space_group_name_Hall 'P 1'
loop_
_atom_site_label
_atom_site_type_symbol
_atom_site_fract_x
_atom_site_fract_y
_atom_site_fract_z
Ca1 Ca 0.000 0.500 0.000
Ca2 Ca 0.500 0.000 0.000
Mg1 Mg 0.000 0.000 0.500
Tl1 Tl 0.500 0.500 0.500
Re1 Re 0.500 0.500 0.000

---

No. 5
# CeMgPb6, optimized geometry, DFT GGA-PBE
# V   469.5 Å³ per cell
# Formation energy   -14.56 kJ per mole of atoms
# Uncorrected energy   -0.1423 hartree per atom
# Fermi-level density of states   17.8 states/eV per cell
# Total magnetization   1.0 μB/f.u.
data_CeMgPb6
_chemical_formula_sum 'Ce2 Mg2 Pb12'
_cell_length_a 9.813
_cell_length_b 9.822
_cell_length_c 4.872
_cell_angle_alpha 90.00
_cell_angle_beta 90.00
_cell_angle_gamma 90.00
_space_group_name_H-M_alt 'P 1'
_space_group_IT_number 1
_space_group_name_Hall 'P 1'
loop_
_atom_site_label
_atom_site_type_symbol
_atom_site_fract_x
_atom_site_fract_y
_atom_site_fract_z
Ce1 Ce 0.000 0.000 0.000
Ce2 Ce 0.500 0.500 0.000
Mg1 Mg 0.000 0.500 0.000
Mg2 Mg 0.500 0.000 0.000
Pb1 Pb 0.000 0.259 0.500
Pb2 Pb 0.000 0.741 0.500
Pb3 Pb 0.241 0.500 0.500
Pb4 Pb 0.250 0.250 0.000
Pb5 Pb 0.250 0.750 0.000
Pb6 Pb 0.259 0.000 0.500
Pb7 Pb 0.500 0.241 0.500
Pb8 Pb 0.500 0.759 0.500
Pb9 Pb 0.741 0.000 0.500
Pb10 Pb 0.750 0.250 0.000
Pb11 Pb 0.750 0.750 0.000
Pb12 Pb 0.759 0.500 0.500

---

No. 6
# NaMgHgAs, optimized geometry, DFT GGA-PBE
# V   347.7 Å³ per cell
# Formation energy   -30.66 kJ per mole of atoms
# Uncorrected energy   -0.0839 hartree per atom
# Total magnetization   0.0 μB/f.u.
data_NaMgHgAs
_chemical_formula_sum 'Na4 Mg4 Hg4 As4'
_cell_length_a 7.032
_cell_length_b 7.032
_cell_length_c 7.032
_cell_angle_alpha 90.00
_cell_angle_beta 90.00
_cell_angle_gamma 90.00
_space_group_name_H-M_alt 'P 1'
_space_group_IT_number 1
_space_group_name_Hall 'P 1'
loop_
_atom_site_label
_atom_site_type_symbol
_atom_site_fract_x
_atom_site_fract_y
_atom_site_fract_z
Na1 Na 0.000 0.000 0.000
Na2 Na 0.000 0.500 0.500
Na3 Na 0.500 0.000 0.500
Na4 Na 0.500 0.500 0.000
Mg1 Mg 0.000 0.000 0.500
Mg2 Mg 0.000 0.500 0.000
Mg3 Mg 0.500 0.000 0.000
Mg4 Mg 0.500 0.500 0.500
Hg1 Hg 0.250 0.250 0.250
Hg2 Hg 0.250 0.750 0.750
Hg3 Hg 0.750 0.250 0.750
Hg4 Hg 0.750 0.750 0.250
As1 As 0.250 0.250 0.750
As2 As 0.250 0.750 0.250
As3 As 0.750 0.250 0.250
As4 As 0.750 0.750 0.750

---

No. 7
# PaCuF, optimized geometry, DFT GGA-PBE
# V   202.4 Å³ per cell
# Uncorrected energy   -0.2354 hartree per atom
# Fermi-level density of states   14.6 states/eV per cell
# Formation energy (no corrections)   -1.252 eV/atom
# Total magnetization   0.3 μB/f.u.
data_PaCuF
_chemical_formula_sum 'Pa4 Cu4 F4'
_cell_length_a 5.569
_cell_length_b 5.004
_cell_length_c 7.369
_cell_angle_alpha 90.00
_cell_angle_beta 99.75
_cell_angle_gamma 90.00
_space_group_name_H-M_alt 'P 1'
_space_group_IT_number 1
_space_group_name_Hall 'P 1'
loop_
_atom_site_label
_atom_site_type_symbol
_atom_site_fract_x
_atom_site_fract_y
_atom_site_fract_z
Pa1 Pa 0.193 0.000 0.259
Pa2 Pa 0.307 0.500 0.741
Pa3 Pa 0.693 0.500 0.259
Pa4 Pa 0.807 0.000 0.741
Cu1 Cu 0.194 0.500 0.100
Cu2 Cu 0.306 0.000 0.900
Cu3 Cu 0.694 0.000 0.100
Cu4 Cu 0.806 0.500 0.900
F1 F 0.000 0.250 0.500
F2 F 0.000 0.750 0.500
F3 F 0.500 0.250 0.500
F4 F 0.500 0.750 0.500

---

No. 8
# LaThSiAg, optimized geometry, DFT GGA-PBE
# V   409.9 Å³ per cell
# Uncorrected energy   -0.2006 hartree per atom
# Fermi-level density of states   15.1 states/eV per cell
# Formation energy (no corrections)   -0.302 eV/atom
# Total magnetization   0.0 μB/f.u.
data_LaThSiAg
_chemical_formula_sum 'La4 Th4 Si4 Ag4'
_cell_length_a 7.429
_cell_length_b 7.429
_cell_length_c 7.429
_cell_angle_alpha 90.00
_cell_angle_beta 90.00
_cell_angle_gamma 90.00
_space_group_name_H-M_alt 'P 1'
_space_group_IT_number 1
_space_group_name_Hall 'P 1'
loop_
_atom_site_label
_atom_site_type_symbol
_atom_site_fract_x
_atom_site_fract_y
_atom_site_fract_z
La1 La 0.000 0.000 0.000
La2 La 0.000 0.500 0.500
La3 La 0.500 0.000 0.500
La4 La 0.500 0.500 0.000
Th1 Th 0.000 0.000 0.500
Th2 Th 0.000 0.500 0.000
Th3 Th 0.500 0.000 0.000
Th4 Th 0.500 0.500 0.500
Si1 Si 0.250 0.250 0.250
Si2 Si 0.250 0.750 0.750
Si3 Si 0.750 0.250 0.750
Si4 Si 0.750 0.750 0.250
Ag1 Ag 0.250 0.250 0.750
Ag2 Ag 0.250 0.750 0.250
Ag3 Ag 0.750 0.250 0.250
Ag4 Ag 0.750 0.750 0.750

---

No. 9
# Cs2VNCl6, optimized geometry, DFT GGA-PBE
# V   310.5 Å³ per cell
# Uncorrected energy   -0.1439 hartree per atom
# Fermi-level density of states   17.6 states/eV per cell
# Formation energy (no corrections)   -0.893 eV/atom
# Total magnetization   4.0 μB/f.u.
data_Cs2VNCl6
_chemical_formula_sum 'Cs2 V1 N1 Cl6'
_cell_length_a 7.604
_cell_length_b 7.604
_cell_length_c 7.604
_cell_angle_alpha 120.07
_cell_angle_beta 120.07
_cell_angle_gamma 89.88
_space_group_name_H-M_alt 'P 1'
_space_group_IT_number 1
_space_group_name_Hall 'P 1'
loop_
_atom_site_label
_atom_site_type_symbol
_atom_site_fract_x
_atom_site_fract_y
_atom_site_fract_z
Cs1 Cs 0.250 0.750 0.500
Cs2 Cs 0.750 0.250 0.500
V1 V 0.000 0.000 0.000
N1 N 0.500 0.500 0.000
Cl1 Cl 0.216 0.216 0.000
Cl2 Cl 0.217 0.217 0.434
Cl3 Cl 0.217 0.783 0.000
Cl4 Cl 0.783 0.217 0.000
Cl5 Cl 0.783 0.783 0.566
Cl6 Cl 0.784 0.784 0.000

---

No. 10
# CuAgBiTe3, optimized geometry, DFT GGA-PBE
# V   343.6 Å³ per cell
# Uncorrected energy   -0.1266 hartree per atom
# Fermi-level density of states   6.7 states/eV per cell
# Formation energy (no corrections)   -0.070 eV/atom
# Total magnetization   0.0 μB/f.u.
data_CuAgBiTe3
_chemical_formula_sum 'Cu2 Ag2 Bi2 Te6'
_cell_length_a 8.704
_cell_length_b 4.384
_cell_length_c 9.083
_cell_angle_alpha 90.00
_cell_angle_beta 97.57
_cell_angle_gamma 90.00
_space_group_name_H-M_alt 'P 1'
_space_group_IT_number 1
_space_group_name_Hall 'P 1'
loop_
_atom_site_label
_atom_site_type_symbol
_atom_site_fract_x
_atom_site_fract_y
_atom_site_fract_z
Cu1 Cu 0.073 0.250 0.011
Cu2 Cu 0.927 0.750 0.989
Ag1 Ag 0.348 0.750 0.337
Ag2 Ag 0.652 0.250 0.663
Bi1 Bi 0.157 0.250 0.687
Bi2 Bi 0.843 0.750 0.313
Te1 Te 0.110 0.250 0.350
Te2 Te 0.238 0.750 0.025
Te3 Te 0.410 0.750 0.652
Te4 Te 0.590 0.250 0.348
Te5 Te 0.762 0.250 0.975
Te6 Te 0.890 0.750 0.650

---

No. 11
# PmNdPb, optimized geometry, DFT GGA-PBE
# Relative energy among the computed polymorphs   0.68 eV per formula unit
# V   97.1 Å³ per cell
# Formation energy   -22.21 kJ per mole of atoms
# Uncorrected energy   -0.1705 hartree per atom
# Fermi-level density of states   3.6 states/eV per cell
# Total magnetization   0.0 μB/f.u.
data_PmNdPb
_chemical_formula_sum 'Pm1 Nd1 Pb1'
_cell_length_a 5.334
_cell_length_b 5.334
_cell_length_c 3.939
_cell_angle_alpha 90.00
_cell_angle_beta 90.00
_cell_angle_gamma 120.00
_space_group_name_H-M_alt 'P 1'
_space_group_IT_number 1
_space_group_name_Hall 'P 1'
loop_
_atom_site_label
_atom_site_type_symbol
_atom_site_fract_x
_atom_site_fract_y
_atom_site_fract_z
Pm1 Pm 0.000 0.000 0.000
Nd1 Nd 0.667 0.333 0.556
Pb1 Pb 0.333 0.667 0.261

---

No. 12
# HoGeP2, optimized geometry, DFT GGA-PBE
# V   245.9 Å³ per cell
# Formation energy   -48.83 kJ per mole of atoms
# Uncorrected energy   -0.2025 hartree per atom
# Fermi-level density of states   7.1 states/eV per cell
# Total magnetization   0.0 μB/f.u.
data_HoGeP2
_chemical_formula_sum 'Ho3 Ge3 P6'
_cell_length_a 3.798
_cell_length_b 3.798
_cell_length_c 19.684
_cell_angle_alpha 90.00
_cell_angle_beta 90.00
_cell_angle_gamma 120.00
_space_group_name_H-M_alt 'P 1'
_space_group_IT_number 1
_space_group_name_Hall 'P 1'
loop_
_atom_site_label
_atom_site_type_symbol
_atom_site_fract_x
_atom_site_fract_y
_atom_site_fract_z
Ho1 Ho 0.000 0.000 0.000
Ho2 Ho 0.333 0.667 0.667
Ho3 Ho 0.667 0.333 0.333
Ge1 Ge 0.000 0.000 0.500
Ge2 Ge 0.333 0.667 0.167
Ge3 Ge 0.667 0.333 0.833
P1 P 0.000 0.000 0.244
P2 P 0.000 0.000 0.756
P3 P 0.333 0.667 0.422
P4 P 0.333 0.667 0.911
P5 P 0.667 0.333 0.089
P6 P 0.667 0.333 0.578

---

No. 13
# HfTi2N2, optimized geometry, DFT GGA-PBE
# Relative energy among the computed polymorphs   3.17 eV per formula unit
# V   126.1 Å³ per cell
# Uncorrected energy   -0.3446 hartree per atom
# Fermi-level density of states   3.8 states/eV per cell
# Formation energy (no corrections)   -0.899 eV/atom
# Total magnetization   0.0 μB/f.u.
data_HfTi2N2
_chemical_formula_sum 'Hf2 Ti4 N4'
_cell_length_a 5.418
_cell_length_b 5.418
_cell_length_c 5.588
_cell_angle_alpha 114.41
_cell_angle_beta 114.41
_cell_angle_gamma 98.02
_space_group_name_H-M_alt 'P 1'
_space_group_IT_number 1
_space_group_name_Hall 'P 1'
loop_
_atom_site_label
_atom_site_type_symbol
_atom_site_fract_x
_atom_site_fract_y
_atom_site_fract_z
Hf1 Hf 0.125 0.875 0.750
Hf2 Hf 0.875 0.125 0.250
Ti1 Ti 0.229 0.477 0.957
Ti2 Ti 0.477 0.229 0.457
Ti3 Ti 0.523 0.771 0.543
Ti4 Ti 0.771 0.523 0.043
N1 N 0.154 0.846 0.250
N2 N 0.404 0.596 0.750
N3 N 0.596 0.404 0.250
N4 N 0.846 0.154 0.750

---

No. 14
# VAuSe2Br, optimized geometry, DFT GGA-PBE
# Relative energy among the computed polymorphs   0.00 eV per formula unit
# V   117.3 Å³ per cell
# Uncorrected energy   -0.1487 hartree per atom
# Fermi-level density of states   4.1 states/eV per cell
# Formation energy (no corrections)   0.162 eV/atom
# Total magnetization   0.0 μB/f.u.
data_VAuSe2Br
_chemical_formula_sum 'V1 Au1 Se2 Br1'
_cell_length_a 4.727
_cell_length_b 4.727
_cell_length_c 5.248
_cell_angle_alpha 90.00
_cell_angle_beta 90.00
_cell_angle_gamma 90.00
_space_group_name_H-M_alt 'P 1'
_space_group_IT_number 1
_space_group_name_Hall 'P 1'
loop_
_atom_site_label
_atom_site_type_symbol
_atom_site_fract_x
_atom_site_fract_y
_atom_site_fract_z
V1 V 0.000 0.000 0.000
Au1 Au 0.500 0.500 0.500
Se1 Se 0.000 0.500 0.000
Se2 Se 0.500 0.000 0.000
Br1 Br 0.000 0.000 0.500

---

No. 15
# AcSmGaRu, optimized geometry, DFT GGA-PBE
# Relative energy among the computed polymorphs   0.00 eV per formula unit
# V   209.6 Å³ per cell
# Formation energy   -33.19 kJ per mole of atoms
# Uncorrected energy   -0.2068 hartree per atom
# Fermi-level density of states   8.1 states/eV per cell
# Total magnetization   0.0 μB/f.u.
data_AcSmGaRu
_chemical_formula_sum 'Ac2 Sm2 Ga2 Ru2'
_cell_length_a 4.214
_cell_length_b 4.523
_cell_length_c 10.995
_cell_angle_alpha 90.00
_cell_angle_beta 90.00
_cell_angle_gamma 90.00
_space_group_name_H-M_alt 'P 1'
_space_group_IT_number 1
_space_group_name_Hall 'P 1'
loop_
_atom_site_label
_atom_site_type_symbol
_atom_site_fract_x
_atom_site_fract_y
_atom_site_fract_z
Ac1 Ac 0.000 0.000 0.000
Ac2 Ac 0.000 0.500 0.500
Sm1 Sm 0.500 0.000 0.284
Sm2 Sm 0.500 0.500 0.784
Ga1 Ga 0.500 0.000 0.594
Ga2 Ga 0.500 0.500 0.094
Ru1 Ru 0.000 0.000 0.729
Ru2 Ru 0.000 0.500 0.229

---

No. 16
# Ba2NpTlS6, optimized geometry, DFT GGA-PBE
# V   561.5 Å³ per cell
# Uncorrected energy   -0.2084 hartree per atom
# Fermi-level density of states   3.3 states/eV per cell
# Formation energy (no corrections)   -1.280 eV/atom
# Total magnetization   1.8 μB/f.u.
data_Ba2NpTlS6
_chemical_formula_sum 'Ba4 Np2 Tl2 S12'
_cell_length_a 7.181
_cell_length_b 7.588
_cell_length_c 12.495
_cell_angle_alpha 90.00
_cell_angle_beta 124.44
_cell_angle_gamma 90.00
_space_group_name_H-M_alt 'P 1'
_space_group_IT_number 1
_space_group_name_Hall 'P 1'
loop_
_atom_site_label
_atom_site_type_symbol
_atom_site_fract_x
_atom_site_fract_y
_atom_site_fract_z
Ba1 Ba 0.226 0.072 0.248
Ba2 Ba 0.226 0.428 0.748
Ba3 Ba 0.774 0.572 0.252
Ba4 Ba 0.774 0.928 0.752
Np1 Np 0.500 0.000 0.000
Np2 Np 0.500 0.500 0.500
Tl1 Tl 0.000 0.000 0.500
Tl2 Tl 0.000 0.500 0.000
S1 S 0.167 0.185 0.957
S2 S 0.167 0.315 0.457
S3 S 0.270 0.715 0.952
S4 S 0.270 0.785 0.452
S5 S 0.353 0.022 0.761
S6 S 0.353 0.478 0.261
S7 S 0.647 0.522 0.739
S8 S 0.647 0.978 0.239
S9 S 0.730 0.215 0.548
S10 S 0.730 0.285 0.048
S11 S 0.833 0.685 0.543
S12 S 0.833 0.815 0.043